This record from the Alexandria database describes KPdI after structural relaxation. The functional is PBE.

Values from the calculation:
density of states at the Fermi level	0.000	states/eV/f.u.
ΔE_f (raw)	-581	meV per atom
magnetic moment	0.00	μB/cell
energy relative to the lowest polymorph listed for this composition	81	meV per atom

a b c (Å): 6.2149 7.0126 4.8879
angles (deg): 97.80 102.01 93.51
With the nearest neighbours (Å) after each atom.
Element x y z (fractional)
I: 0.1384 0.3845 0.1393  3 Pd 2.63-2.72
I: 0.6935 0.9279 0.4743  2 Pd 2.60-2.82
K: 0.5718 0.4494 0.7652  4 Pd 3.28-3.62, 2 I 3.59-3.60
K: 0.1497 0.8900 0.0269  2 Pd 3.26-3.40, 3 I 3.44-3.60
Pd: 0.9046 0.6243 0.3897  2 I 2.60-2.63, 1 Pd 2.88
Pd: 0.9973 0.2593 0.5748  3 I 2.69-2.82, 1 Pd 2.88